# 1
BeFeSb: relaxed, PBE-GGA.

The calculation puts the formation energy without anion corrections at 17.23 kJ per mole of atoms. The distance to the lowest polymorph of the same formula is 0 meV/atom. Its total energy is -31.551 eV per cell.

The space group is I4mm (No. 107) and the conventional cell measures 3.2305, 3.2305 and 7.7711 Å, with angles of 90.00, 90.00 and 90.00 degrees. The inequivalent atoms are Be at (0.0000, 0.0000, 0.0000), Fe at (0.0000, 0.0000, 0.3539) and Sb at (0.0000, 0.0000, 0.6816).

---

# 2
ScAlZn2: relaxed, PBE-GGA.

As for the formation energy: -0.017 eV per atom. Its total energy is -38.071 eV per cell.

The space group is R3m (No. 160, hexagonal axes) and the conventional cell measures 3.0274, 3.0274 and 27.3441 Å, with angles of 90.00, 90.00 and 120.00 degrees. The inequivalent atoms are Sc at (0.0000, 0.0000, 0.0000), Al at (0.0000, 0.0000, 0.2434), Zn at (0.0000, 0.0000, 0.4980) and Zn at (0.0000, 0.0000, 0.7535).

---

# 3
LaTbDy5Tm2: relaxed, PBE-GGA.

As for the formation energy: 0.168 eV per atom. Its total energy is -160.002 eV per cell.

The space group is Cmc2_1 (No. 36) and the conventional cell measures 5.6068, 19.8520 and 10.5060 Å, with angles of 90.00, 90.00 and 90.00 degrees. The inequivalent atoms are La at (0.0000, 0.0825, 0.0000), Tb at (0.0000, 0.3009, 0.5657), Dy at (0.0000, 0.0217, 0.2887), Dy at (0.0000, 0.1131, 0.5766), Dy at (0.0000, 0.2025, 0.2622), Dy at (0.0000, 0.2199, 0.8669), Dy at (0.0000, 0.4833, 0.5779), Tm at (0.0000, 0.3866, 0.8716) and Tm at (0.0000, 0.3883, 0.2865).

---

| no. | DOS at the Fermi energy (states/eV/cell) | total magnetization (μB/f.u.) |
| --- | --- | --- |
| 1 | 1.6 | 1.0 |
| 2 | 8.3 | 0.0 |
| 3 | 58.6 | 0.0 |